# 1
DFT (PBE) results for an optimized crystal structure of Sr2FePt2.

Cell lengths 8.6009, 8.6009, 3.3740 Å; angles 90.00, 90.00, 90.00 degrees
Closest atoms and distances in Å follow each position.
Space group P4/mbm (No. 127)
Symmetry-distinct sites (fractional):
Sr 0.1447 0.3553 0.0000 (multiplicity 4)  6 Pt 2.95-3.09, 2 Fe 3.30
Fe 0.0000 0.0000 0.0000 (multiplicity 2)  4 Sr 3.30, 2 Fe 3.37, 8 Pt 3.66
Pt 0.1559 0.6559 0.5000 (multiplicity 4)  6 Sr 2.95-3.09



# 2
DFT (PBE) results for an optimized crystal structure of Pr3Ga3Si.

Cell lengths 4.1793, 4.4111, 18.8460 Å; angles 90.00, 90.00, 90.00 degrees
Closest atoms and distances in Å follow each position.
Space group Imm2 (No. 44)
Symmetry-distinct sites (fractional):
Pr 0.0000 0.0000 0.0000 (multiplicity 2)  2 Si 3.13, 5 Ga 3.14-3.33
Pr 0.0000 0.0000 0.3670 (multiplicity 2)  7 Ga 3.15-3.30
Pr 0.0000 0.5000 0.6800 (multiplicity 2)  4 Si 3.26, 8 Ga 3.29-3.48
Ga 0.0000 0.0000 0.5422 (multiplicity 2)  2 Si 2.53
Ga 0.0000 0.0000 0.8232 (multiplicity 2)  2 Ga 2.53
Ga 0.0000 0.5000 0.2475 (multiplicity 2)  1 Si 2.44, 2 Ga 2.53
Si 0.0000 0.5000 0.1179 (multiplicity 2)  3 Ga 2.44-2.53

Computed properties:
Formation energy without anion corrections = -0.670 eV/atom



# 3
DFT (PBE) results for an optimized crystal structure of Cs3AcEr2S6.

Cell lengths 7.2972, 12.6348, 8.4421 Å; angles 90.00, 106.77, 90.00 degrees
Closest atoms and distances in Å follow each position.
Space group C2/m (No. 12)
Symmetry-distinct sites (fractional):
Cs 0.0000 0.0000 0.0000 (multiplicity 2)  6 S 3.43-3.59
Cs 0.0000 0.3355 0.0000 (multiplicity 4)  6 S 3.44-3.59
Ac 0.0000 0.5000 0.5000 (multiplicity 2)  6 S 2.98-2.99
Er 0.0000 0.1667 0.5000 (multiplicity 4)  6 S 2.78-2.79
S 0.2059 0.0000 0.6826 (multiplicity 4)  2 Er 2.78, 1 Ac 2.98
S 0.2389 0.3224 0.6837 (multiplicity 8)  2 Er 2.78-2.79, 1 Ac 2.99

Computed properties:
Formation energy without anion corrections = -1.829 eV/atom



# 4
DFT (PBE) results for an optimized crystal structure of SrHfS2.

Cell lengths 6.2361, 6.2361, 11.8614 Å; angles 90.00, 90.00, 90.00 degrees
Closest atoms and distances in Å follow each position.
Space group I-42d (No. 122)
Symmetry-distinct sites (fractional):
Sr 0.0000 0.0000 0.0000 (multiplicity 4)  4 S 2.87
Hf 0.0000 0.0000 0.5000 (multiplicity 4)  4 S 2.47
S 0.1942 0.2500 0.6250 (multiplicity 8)  2 Hf 2.47

Computed properties:
Formation energy without anion corrections = -1.226 eV/atom



# 5
DFT (PBE) results for an optimized crystal structure of Tb3Er6Cd.

Cell lengths 9.5473, 13.8322, 9.2280 Å; angles 90.00, 90.00, 90.00 degrees
Closest atoms and distances in Å follow each position.
Space group Cmc2_1 (No. 36)
Symmetry-distinct sites (fractional):
Tb 0.0000 0.0239 0.0000 (multiplicity 4)  1 Cd 3.17, 5 Er 3.43-3.53, 2 Tb 3.51
Tb 0.1776 0.3539 0.4918 (multiplicity 8)  5 Er 3.20-3.46, 2 Tb 3.39-3.51, 1 Cd 3.44
Er 0.0000 0.1969 0.7186 (multiplicity 4)  1 Cd 3.14, 3 Er 3.35-3.41, 2 Tb 3.46
Er 0.0000 0.4318 0.8325 (multiplicity 4)  1 Cd 3.21, 7 Er 3.29-3.47
Er 0.1764 0.1487 0.3043 (multiplicity 8)  3 Tb 3.20-3.43, 1 Cd 3.22, 3 Er 3.29-3.50
Er 0.2003 0.4196 0.1460 (multiplicity 8)  1 Cd 3.15, 4 Er 3.29-3.50, 3 Tb 3.33-3.48
Cd 0.0000 0.2504 0.0491 (multiplicity 4)  6 Er 3.14-3.22, 3 Tb 3.17-3.44



# 6
DFT (PBE) results for an optimized crystal structure of BeCrTe2Se.

Cell lengths 4.9525, 4.9525, 4.3051 Å; angles 90.00, 90.00, 90.00 degrees
Closest atoms and distances in Å follow each position.
Space group P4/mmm (No. 123)
Symmetry-distinct sites (fractional):
Be 0.0000 0.0000 0.0000 (multiplicity 1)  2 Cr 2.15
Cr 0.0000 0.0000 0.5000 (multiplicity 1)  2 Be 2.15
Te 0.0000 0.5000 0.0000 (multiplicity 2)  2 Be 2.48
Se 0.5000 0.5000 0.5000 (multiplicity 1)  8 Te 3.28, 4 Cr 3.50

Computed properties:
Formation energy without anion corrections = 0.964 eV/atom



# 7
DFT (PBE) results for an optimized crystal structure of CsMgBi3.

Cell lengths 5.7653, 5.7653, 5.7653 Å; angles 90.00, 90.00, 90.00 degrees
Closest atoms and distances in Å follow each position.
Space group Pm-3m (No. 221)
Symmetry-distinct sites (fractional):
Cs 0.0000 0.0000 0.0000 (multiplicity 1)  12 Bi 4.08
Mg 0.5000 0.5000 0.5000 (multiplicity 1)  6 Bi 2.88
Bi 0.0000 0.5000 0.5000 (multiplicity 3)  2 Mg 2.88



# 8
DFT (PBE) results for an optimized crystal structure of ZnOsW3.

Cell lengths 4.7564, 4.7564, 4.7564 Å; angles 90.00, 90.00, 90.00 degrees
Closest atoms and distances in Å follow each position.
Space group Pm-3m (No. 221)
Symmetry-distinct sites (fractional):
Zn 0.0000 0.0000 0.0000 (multiplicity 1)  12 W 3.36
Os 0.5000 0.5000 0.5000 (multiplicity 1)  6 W 2.38
W 0.0000 0.5000 0.5000 (multiplicity 3)  2 Os 2.38



# 9
DFT (PBE) results for an optimized crystal structure of Li2Sc3Cd7.

Cell lengths 4.8252, 4.9266, 11.4749 Å; angles 90.00, 99.93, 90.00 degrees
Closest atoms and distances in Å follow each position.
Space group P2/m (No. 10)
Symmetry-distinct sites (fractional):
Li 0.1359 0.0000 0.3011 (multiplicity 2)  7 Cd 2.80-3.06
Sc 0.0000 0.0000 0.0000 (multiplicity 1)  8 Cd 3.05-3.07, 2 Li 3.40
Sc 0.3851 0.5000 0.6803 (multiplicity 2)  6 Cd 2.87-3.03
Cd 0.0572 0.5000 0.1611 (multiplicity 2)  2 Li 2.93, 4 Sc 2.98-3.06, 2 Cd 2.99-3.06
Cd 0.2721 0.0000 0.5520 (multiplicity 2)  2 Cd 2.68-2.69, 2 Li 2.80-2.84, 2 Sc 2.87
Cd 0.4280 0.0000 0.8336 (multiplicity 2)  2 Li 2.82-2.89, 4 Sc 3.01-3.07, 2 Cd 3.10
Cd 0.5000 0.5000 0.0000 (multiplicity 1)  8 Cd 2.99-3.10



# 10
DFT (PBE) results for an optimized crystal structure of Ba2Hg5Pd5.

Cell lengths 4.5432, 5.9206, 10.3841 Å; angles 90.00, 90.00, 90.00 degrees
Closest atoms and distances in Å follow each position.
Space group Pmmm (No. 47)
Symmetry-distinct sites (fractional):
Ba 0.0000 0.0000 0.0000 (multiplicity 1)  6 Hg 3.29-3.42
Ba 0.0000 0.5000 0.5000 (multiplicity 1)  10 Hg 3.48-3.73, 8 Pd 3.74
Hg 0.0000 0.0000 0.3172 (multiplicity 2)  4 Pd 2.82, 2 Hg 2.96
Hg 0.0000 0.5000 0.1651 (multiplicity 2)  6 Pd 2.83-2.85
Hg 0.5000 0.0000 0.5000 (multiplicity 1)  4 Hg 2.96, 4 Pd 3.01
Pd 0.5000 0.2557 0.2496 (multiplicity 4)  5 Hg 2.82-3.01, 3 Pd 2.89-3.03
Pd 0.5000 0.5000 0.0000 (multiplicity 1)  4 Hg 2.85, 4 Pd 2.97



# 11
DFT (PBE) results for an optimized crystal structure of NaSi2Ni.

Cell lengths 3.8700, 3.8700, 16.7878 Å; angles 90.00, 90.00, 120.00 degrees
Closest atoms and distances in Å follow each position.
Space group R3m (No. 160, hexagonal axes)
Symmetry-distinct sites (fractional):
Na 0.0000 0.0000 0.0000 (multiplicity 3)  1 Ni 2.96, 6 Si 3.06-3.15
Si 0.0000 0.0000 0.5421 (multiplicity 3)  3 Ni 2.30
Si 0.0000 0.0000 0.7986 (multiplicity 3)  3 Ni 2.36, 3 Si 2.58
Ni 0.0000 0.0000 0.1764 (multiplicity 3)  6 Si 2.30-2.36

Computed properties:
Formation energy without anion corrections = -0.186 eV/atom



# 12
DFT (PBE) results for an optimized crystal structure of NbTeWC2.

Cell lengths 4.0642, 4.0642, 5.4557 Å; angles 90.00, 90.00, 90.00 degrees
Closest atoms and distances in Å follow each position.
Space group P4/mmm (No. 123)
Symmetry-distinct sites (fractional):
Nb 0.0000 0.0000 0.0000 (multiplicity 1)  4 Te 2.87
Te 0.5000 0.5000 0.0000 (multiplicity 1)  2 W 2.73, 4 Nb 2.87
W 0.5000 0.5000 0.5000 (multiplicity 1)  4 C 2.03
C 0.0000 0.5000 0.5000 (multiplicity 2)  2 W 2.03

Computed properties:
Formation energy without anion corrections = 1.620 eV/atom



# 13
DFT (PBE) results for an optimized crystal structure of YAsPtBr2.

Cell lengths 5.0184, 5.0184, 5.1582 Å; angles 90.00, 90.00, 90.00 degrees
Closest atoms and distances in Å follow each position.
Space group P4/mmm (No. 123)
Symmetry-distinct sites (fractional):
Y 0.0000 0.0000 0.0000 (multiplicity 1)  4 As 3.55, 8 Br 3.60
As 0.5000 0.5000 0.0000 (multiplicity 1)  2 Pt 2.58
Pt 0.5000 0.5000 0.5000 (multiplicity 1)  4 Br 2.51, 2 As 2.58
Br 0.0000 0.5000 0.5000 (multiplicity 2)  2 Pt 2.51

Computed properties:
Formation energy without anion corrections = -0.190 eV/atom



# 14
DFT (PBE) results for an optimized crystal structure of CeSm2Pd.

Cell lengths 3.5850, 3.5850, 8.4431 Å; angles 90.00, 90.00, 90.00 degrees
Closest atoms and distances in Å follow each position.
Space group P4/mmm (No. 123)
Symmetry-distinct sites (fractional):
Ce 0.0000 0.0000 0.0000 (multiplicity 1)  8 Sm 3.54, 4 Ce 3.58
Sm 0.5000 0.5000 0.2934 (multiplicity 2)  4 Pd 3.08
Pd 0.0000 0.0000 0.5000 (multiplicity 1)  8 Sm 3.08



Calculated total energy readings, ordered: -46.11, -67.06, -125.02, -99.18, -165.57, -18.30, -13.69, -41.45, -30.15, -36.17, -56.07, -36.51, -21.45, -21.82 eV for the cell shown